Here is a relaxed structure of ThPaGaAg from Alexandria via LeMat-Bulk. Energies are from GGA-PBE.

For the energy of formation from the pure elements, the calculation gives 0.013 eV per atom. As for the magnetic moment: 1.0 μB/f.u.

The structure belongs to space group F-43m (No. 216); the cell edges are 7.318, 7.318 and 7.318 Å and the angles 90.00°, 90.00° and 90.00°. Symmetry generates all atoms from Th at (0.000, 0.000, 0.000), Pa at (0.000, 0.000, 0.500), Ga at (0.250, 0.250, 0.750) and Ag at (0.250, 0.250, 0.250).